VASP calculation (PBE) on CdCuH3 after structural relaxation.

M_tot: 0.00 μB/f.u.
D(E_F): 1.89 states/eV per cell
E: -2.577 eV/atom

Cell lengths 3.5944, 3.5944, 3.5944 Å; angles 90.00, 90.00, 90.00 degrees
Closest atoms and distances in Å follow each position.
Space group Pm-3m (No. 221)
One atom of each set of equivalent atoms:
Cd 0.0000 0.0000 0.0000 (multiplicity 1)  12 H 2.54
Cu 0.5000 0.5000 0.5000 (multiplicity 1)  6 H 1.80
H 0.0000 0.5000 0.5000 (multiplicity 3)  2 Cu 1.80